# CdMoIO4 (PBE with a Hubbard U, relaxed)
# energy	-5.37	eV/atom
data_CdMoIO4
_chemical_formula_sum 'Cd4 Mo4 I4 O16'
_cell_length_a 11.843
_cell_length_b 6.483
_cell_length_c 7.798
_cell_angle_alpha 90.00
_cell_angle_beta 103.82
_cell_angle_gamma 90.00
_space_group_name_H-M_alt 'C 1 2/m 1'
_space_group_IT_number 12
_space_group_name_Hall '-C 2y'
loop_
_atom_site_label
_atom_site_type_symbol
_atom_site_fract_x
_atom_site_fract_y
_atom_site_fract_z
Cd1 Cd 0.206 0.000 0.266
Mo1 Mo 0.121 0.000 0.736
I1 I 0.041 0.500 0.175
O1 O 0.036 0.000 0.332
O2 O 0.163 0.000 0.971
O3 O 0.181 0.228 0.657